Compound: LiAlCl2
Source: Alexandria
Functional: PBE
Structure: relaxed

Structure (POSCAR):
```
LiAlCl2
1.0
6.513 0.000 0.000
0.000 3.727 0.000
-2.093 0.000 7.135
Li Al Cl
2 2 4
direct
0.000 0.000 0.000
0.500 0.500 0.000
0.000 0.500 0.500
0.500 0.000 0.500
0.231 0.500 0.202
0.269 0.000 0.798
0.731 0.000 0.202
0.769 0.500 0.798
```

Values from the calculation:
Formation energy from raw total energies = -1.0008 eV per atom
Volume = 21.65 A^3/atom
E_tot = -3.338 eV per atom
Polymorph energy (0 for the lowest one) = 0.068 eV/atom

Compound: Li2AlCl4
Source: Alexandria
Functional: PBE
Structure: relaxed

Structure (POSCAR):
```
Li2AlCl4
1.0
5.679 0.000 0.000
0.000 5.679 0.000
0.000 0.000 11.387
Li Al Cl
4 2 8
direct
0.000 0.500 0.250
0.000 0.500 0.750
0.500 0.000 0.250
0.500 0.000 0.750
0.000 0.000 0.000
0.500 0.500 0.500
0.240 0.240 0.132
0.240 0.760 0.868
0.260 0.260 0.632
0.260 0.740 0.368
0.740 0.260 0.368
0.740 0.740 0.632
0.760 0.240 0.868
0.760 0.760 0.132
```

Values from the calculation:
Formation energy from raw total energies = -1.3488 eV per atom
Volume = 26.23 A^3/atom
E_tot = -3.485 eV per atom

Compound: LiAlCl2
Source: Alexandria
Functional: PBE
Structure: relaxed

Structure (POSCAR):
```
LiAlCl2
1.0
3.376 0.000 0.000
-1.688 2.924 0.000
0.000 0.000 23.060
Li Al Cl
3 3 6
direct
0.000 0.000 0.000
0.333 0.667 0.667
0.667 0.333 0.333
0.000 0.000 0.500
0.333 0.667 0.167
0.667 0.333 0.833
0.000 0.000 0.398
0.000 0.000 0.602
0.333 0.667 0.064
0.333 0.667 0.269
0.667 0.333 0.731
0.667 0.333 0.936
```

Values from the calculation:
Formation energy from raw total energies = -1.0567 eV per atom
Volume = 18.97 A^3/atom
E_tot = -3.394 eV per atom
Polymorph energy (0 for the lowest one) = 0.012 eV/atom

Compound: LiAlCl4
Source: Alexandria
Functional: PBE
Structure: relaxed

Structure (POSCAR):
```
LiAlCl4
1.0
8.977 -2.470 0.000
8.977 2.470 0.000
-3.760 0.000 7.420
Li Al Cl
2 2 8
direct
0.250 0.250 0.130
0.750 0.750 0.870
0.085 0.085 0.713
0.915 0.915 0.287
0.060 0.060 0.410
0.101 0.101 0.992
0.229 0.229 0.804
0.403 0.403 0.291
0.597 0.597 0.709
0.771 0.771 0.196
0.899 0.899 0.008
0.940 0.940 0.590
```

Values from the calculation:
Formation energy from raw total energies = -1.5422 eV per atom
Volume = 27.42 A^3/atom
E_tot = -3.716 eV per atom
Polymorph energy (0 for the lowest one) = 0.115 eV/atom

Compound: Na2LiAlCl6
Source: Alexandria
Functional: PBE
Structure: relaxed

Structure (POSCAR):
```
Na2LiAlCl6
1.0
6.899 0.000 0.000
-3.450 5.975 0.000
0.000 0.000 6.218
Na Li Al Cl
2 1 1 6
direct
0.333 0.667 0.414
0.667 0.333 0.586
0.000 0.000 0.000
0.000 0.000 0.500
0.158 0.316 0.722
0.158 0.842 0.722
0.316 0.158 0.278
0.684 0.842 0.722
0.842 0.158 0.278
0.842 0.684 0.278
```

Values from the calculation:
Formation energy from raw total energies = -1.6311 eV per atom
Volume = 25.63 A^3/atom
E_tot = -3.569 eV per atom

Compound: NaLiAl2Cl8
Source: Alexandria
Functional: PBE
Structure: relaxed

Structure (POSCAR):
```
NaLiAl2Cl8
1.0
6.503 0.000 0.000
-3.252 5.632 0.000
0.000 0.000 8.906
Na Li Al Cl
1 1 2 8
direct
0.000 0.000 0.000
0.000 0.000 0.500
0.333 0.667 0.754
0.667 0.333 0.246
0.037 0.331 0.682
0.294 0.963 0.682
0.331 0.294 0.318
0.333 0.667 0.995
0.667 0.333 0.005
0.669 0.706 0.682
0.706 0.037 0.318
0.963 0.669 0.318
```

Values from the calculation:
Formation energy from raw total energies = -1.6109 eV per atom
Volume = 27.18 A^3/atom
E_tot = -3.735 eV per atom

Compound: Na2Li2Al3Si3ClO12
Source: Alexandria
Functional: PBE
Structure: relaxed

Structure (POSCAR):
```
Na2Li2Al3Si3ClO12
1.0
8.730 0.000 0.000
0.000 8.730 0.000
0.000 0.000 8.745
Na Li Al Si Cl O
4 4 6 6 2 24
direct
0.160 0.339 0.412
0.339 0.840 0.588
0.661 0.160 0.588
0.840 0.661 0.412
0.188 0.687 0.063
0.313 0.188 0.937
0.687 0.812 0.937
0.812 0.313 0.063
0.002 0.750 0.756
0.250 0.002 0.244
0.500 0.500 0.000
0.500 0.500 0.500
0.750 0.998 0.244
0.998 0.250 0.756
0.000 0.000 0.000
0.000 0.000 0.500
0.250 0.502 0.755
0.498 0.250 0.245
0.502 0.750 0.245
0.750 0.498 0.755
0.000 0.500 0.199
0.500 0.000 0.801
0.073 0.862 0.604
0.084 0.134 0.897
0.134 0.916 0.103
0.136 0.374 0.680
0.138 0.073 0.396
0.157 0.645 0.836
0.352 0.574 0.616
0.354 0.416 0.887
0.355 0.157 0.164
0.374 0.864 0.320
0.416 0.646 0.113
0.426 0.352 0.384
0.574 0.648 0.384
0.584 0.354 0.113
0.626 0.136 0.320
0.645 0.843 0.164
0.646 0.584 0.887
0.648 0.426 0.616
0.843 0.355 0.836
0.862 0.927 0.396
0.864 0.626 0.680
0.866 0.084 0.103
0.916 0.866 0.897
0.927 0.138 0.604
```

Values from the calculation:
Formation energy from raw total energies = -2.7098 eV per atom
Volume = 14.49 A^3/atom
E_tot = -6.854 eV per atom

Compound: LiAlS3Cl4O6
Source: Alexandria
Functional: PBE
Structure: relaxed

Structure (POSCAR):
```
LiAlS3Cl4O6
1.0
9.773 0.000 0.000
0.000 10.105 0.000
0.000 0.000 13.970
Li Al S Cl O
4 4 12 16 24
direct
0.117 0.250 0.246
0.383 0.750 0.746
0.617 0.250 0.254
0.883 0.750 0.754
0.218 0.250 0.625
0.282 0.750 0.125
0.718 0.250 0.875
0.782 0.750 0.375
0.132 0.750 0.572
0.136 0.542 0.857
0.136 0.958 0.857
0.364 0.042 0.357
0.364 0.458 0.357
0.368 0.250 0.072
0.632 0.750 0.928
0.636 0.542 0.643
0.636 0.958 0.643
0.864 0.042 0.143
0.864 0.458 0.143
0.868 0.250 0.428
0.093 0.750 0.044
0.103 0.076 0.589
0.103 0.424 0.589
0.243 0.750 0.278
0.257 0.250 0.778
0.397 0.576 0.089
0.397 0.924 0.089
0.407 0.250 0.544
0.593 0.750 0.456
0.603 0.076 0.911
0.603 0.424 0.911
0.743 0.750 0.222
0.757 0.250 0.722
0.897 0.576 0.411
0.897 0.924 0.411
0.907 0.250 0.956
0.005 0.590 0.822
0.005 0.910 0.822
0.014 0.750 0.635
0.234 0.250 0.117
0.243 0.104 0.317
0.243 0.396 0.317
0.257 0.604 0.817
0.257 0.896 0.817
0.266 0.750 0.617
0.486 0.250 0.135
0.495 0.090 0.322
0.495 0.410 0.322
0.505 0.590 0.678
0.505 0.910 0.678
0.514 0.750 0.865
0.734 0.250 0.383
0.743 0.104 0.183
0.743 0.396 0.183
0.757 0.604 0.683
0.757 0.896 0.683
0.766 0.750 0.883
0.986 0.250 0.365
0.995 0.090 0.178
0.995 0.410 0.178
```

Values from the calculation:
Formation energy from raw total energies = -1.3247 eV per atom
Volume = 22.99 A^3/atom
E_tot = -5.003 eV per atom

Compound: LiAlP2Cl
Source: Alexandria
Functional: PBE
Structure: relaxed

Structure (POSCAR):
```
LiAlP2Cl
1.0
4.592 0.000 0.000
0.000 4.592 0.000
0.000 0.000 5.352
Li Al P Cl
1 1 2 1
direct
0.000 0.000 0.000
0.500 0.500 0.500
0.000 0.500 0.500
0.500 0.000 0.500
0.500 0.500 0.000
```

Values from the calculation:
Formation energy from raw total energies = 0.0066 eV per atom
Volume = 22.58 A^3/atom
E_tot = -3.658 eV per atom
Polymorph energy (0 for the lowest one) = 0.000 eV/atom

Compound: LiAlPCl2
Source: Alexandria
Functional: PBE
Structure: relaxed

Structure (POSCAR):
```
LiAlPCl2
1.0
4.915 0.000 0.000
0.000 4.915 0.000
0.000 0.000 4.696
Li Al P Cl
1 1 1 2
direct
0.000 0.000 0.000
0.500 0.500 0.500
0.500 0.500 0.000
0.000 0.500 0.500
0.500 0.000 0.500
```

Values from the calculation:
Formation energy from raw total energies = -0.5185 eV per atom
Volume = 22.69 A^3/atom
E_tot = -3.470 eV per atom
Polymorph energy (0 for the lowest one) = 0.000 eV/atom

Compound: LiAlPbCl6
Source: Alexandria
Functional: PBE
Structure: relaxed

Structure (POSCAR):
```
LiAlPbCl6
1.0
6.442 0.000 0.000
-3.221 5.579 0.000
0.000 0.000 6.174
Li Al Pb Cl
1 1 1 6
direct
0.000 0.000 0.000
0.333 0.667 0.000
0.667 0.333 0.500
0.046 0.357 0.218
0.046 0.689 0.782
0.311 0.357 0.782
0.311 0.954 0.218
0.643 0.689 0.218
0.643 0.954 0.782
```

Values from the calculation:
Formation energy from raw total energies = -1.4345 eV per atom
Volume = 24.65 A^3/atom
E_tot = -3.706 eV per atom

Compound: LiAlPt2Cl
Source: Alexandria
Functional: PBE
Structure: relaxed

Structure (POSCAR):
```
LiAlPt2Cl
1.0
4.758 0.000 0.000
0.000 4.758 0.000
0.000 0.000 3.991
Li Al Pt Cl
1 1 2 1
direct
0.000 0.000 0.000
0.500 0.500 0.000
0.000 0.500 0.500
0.500 0.000 0.500
0.000 0.000 0.500
```

Values from the calculation:
Formation energy from raw total energies = 0.2078 eV per atom
Volume = 18.07 A^3/atom
E_tot = -3.709 eV per atom

Compound: LiAl2ReCl
Source: Alexandria
Functional: PBE
Structure: relaxed

Structure (POSCAR):
```
LiAl2ReCl
1.0
4.928 0.000 0.000
0.000 4.928 0.000
0.000 0.000 3.852
Li Al Re Cl
1 2 1 1
direct
0.000 0.000 0.000
0.000 0.500 0.000
0.500 0.000 0.000
0.500 0.500 0.500
0.000 0.000 0.500
```

Values from the calculation:
Formation energy from raw total energies = 1.0478 eV per atom
Volume = 18.71 A^3/atom
E_tot = -3.691 eV per atom
Polymorph energy (0 for the lowest one) = 0.670 eV/atom

Compound: LiAl2ReCl
Source: Alexandria
Functional: PBE
Structure: relaxed

Structure (POSCAR):
```
LiAl2ReCl
1.0
4.882 0.000 0.000
0.000 4.882 0.000
0.000 0.000 4.908
Li Al Re Cl
1 2 1 1
direct
0.000 0.000 0.000
0.000 0.500 0.500
0.500 0.000 0.500
0.500 0.500 0.500
0.500 0.500 0.000
```

Values from the calculation:
Formation energy from raw total energies = 0.3779 eV per atom
Volume = 23.40 A^3/atom
E_tot = -4.361 eV per atom
Polymorph energy (0 for the lowest one) = 0.000 eV/atom

Compound: LiAl2TlCl8
Source: Alexandria
Functional: PBE
Structure: relaxed

Structure (POSCAR):
```
LiAl2TlCl8
1.0
3.186 1.840 9.335
-3.186 1.840 9.335
0.000 -3.679 9.335
Li Al Tl Cl
1 2 1 8
direct
0.000 0.000 0.000
0.254 0.254 0.254
0.746 0.746 0.746
0.500 0.500 0.500
0.045 0.726 0.398
0.177 0.177 0.177
0.274 0.602 0.955
0.398 0.045 0.726
0.602 0.955 0.274
0.726 0.398 0.045
0.823 0.823 0.823
0.955 0.274 0.602
```

Values from the calculation:
Formation energy from raw total energies = -1.5235 eV per atom
Volume = 27.36 A^3/atom
E_tot = -3.735 eV per atom

Compound: LiAlTlCl6
Source: Alexandria
Functional: PBE
Structure: relaxed

Structure (POSCAR):
```
LiAlTlCl6
1.0
6.441 0.000 0.000
-3.221 5.578 0.000
0.000 0.000 6.099
Li Al Tl Cl
1 1 1 6
direct
0.000 0.000 0.000
0.333 0.667 0.000
0.667 0.333 0.500
0.046 0.356 0.218
0.046 0.690 0.782
0.310 0.356 0.782
0.310 0.954 0.218
0.644 0.690 0.218
0.644 0.954 0.782
```

Values from the calculation:
Formation energy from raw total energies = -1.2652 eV per atom
Volume = 24.35 A^3/atom
E_tot = -3.388 eV per atom

Compound: LiAlTl2Cl6
Source: Alexandria
Functional: PBE
Structure: relaxed

Structure (POSCAR):
```
LiAlTl2Cl6
1.0
7.037 0.000 0.000
-3.519 6.095 0.000
0.000 0.000 6.156
Li Al Tl Cl
1 1 2 6
direct
0.000 0.000 0.000
0.000 0.000 0.500
0.333 0.667 0.314
0.667 0.333 0.686
0.156 0.311 0.724
0.156 0.844 0.724
0.311 0.156 0.276
0.689 0.844 0.724
0.844 0.156 0.276
0.844 0.689 0.276
```

Values from the calculation:
Formation energy from raw total energies = -1.3955 eV per atom
Volume = 26.40 A^3/atom
E_tot = -3.542 eV per atom

Compound: Li2AlZnCl
Source: Alexandria
Functional: PBE
Structure: relaxed

Structure (POSCAR):
```
Li2AlZnCl
1.0
5.350 0.000 0.000
0.000 5.350 0.000
0.000 0.000 5.045
Li Al Zn Cl
2 1 1 1
direct
0.000 0.500 0.000
0.500 0.000 0.000
0.000 0.000 0.000
0.500 0.500 0.500
0.000 0.000 0.500
```

Values from the calculation:
Formation energy from raw total energies = 0.1337 eV per atom
Volume = 28.88 A^3/atom
E_tot = -2.004 eV per atom
Polymorph energy (0 for the lowest one) = 0.349 eV/atom

Compound: Li2AlZnCl
Source: Alexandria
Functional: PBE
Structure: relaxed

Structure (POSCAR):
```
Li2AlZnCl
1.0
4.391 0.000 0.000
0.000 4.391 0.000
0.000 0.000 5.622
Li Al Zn Cl
2 1 1 1
direct
0.000 0.500 0.000
0.500 0.000 0.000
0.000 0.000 0.500
0.500 0.500 0.500
0.000 0.000 0.000
```

Values from the calculation:
Formation energy from raw total energies = -0.2156 eV per atom
Volume = 21.68 A^3/atom
E_tot = -2.354 eV per atom
Polymorph energy (0 for the lowest one) = 0.000 eV/atom

Compound: MgAlCl2
Source: Alexandria
Functional: PBE
Structure: relaxed

Structure (POSCAR):
```
MgAlCl2
1.0
3.962 0.000 0.000
0.000 3.962 0.000
0.000 0.000 12.480
Mg Al Cl
2 2 4
direct
0.000 0.000 0.000
0.500 0.500 0.500
0.000 0.500 0.750
0.500 0.000 0.250
0.000 0.000 0.500
0.000 0.500 0.250
0.500 0.000 0.750
0.500 0.500 0.000
```

Values from the calculation:
Formation energy from raw total energies = -0.4526 eV per atom
Volume = 24.49 A^3/atom
E_tot = -2.710 eV per atom
Polymorph energy (0 for the lowest one) = 0.518 eV/atom